Below is crystalline InPd2Au6 at its relaxed geometry, with properties calculated at the PBE-GGA level.

The structure belongs to space group C2/m (No. 12); the cell edges are 11.522, 6.651 and 4.664 Å and the angles 90.00°, 90.00° and 90.00°. The asymmetric unit holds In at (0.000, 0.000, 0.000), Pd at (0.166, 0.500, 0.823), Au at (0.097, 0.289, 0.322) and Au at (0.193, 0.000, 0.681).

As for the total energy: -3.5263 eV per atom. The calculation puts the spin magnetization at 0.0 Bohr magnetons per cell. The value obtained for the formation energy is 0.117 eV/atom. For the energy above the most stable polymorph in this dataset, the calculation gives 231 meV per atom.